First-principles (GGA-PBE) data for Tm3Sc3FeTe2 after structural relaxation, as listed in the Open Quantum Materials Database.

Computed properties:
The calculation puts the final energy at -5.7770 eV/atom. Its relative energy among the computed polymorphs is 0.097 eV/atom.

Unit cell a=8.0033 b=8.0033 c=3.8139 alpha=90.00 beta=90.00 gamma=120.00
Last column: nearest neighbours and their distance in Å.
Positions (direct):
Tm (0.2386, 0.2386, 0.5000)  2 Fe 2.70
Tm (0.0000, 0.7614, 0.5000)  2 Fe 2.70
Tm (0.7614, 0.0000, 0.5000)  2 Fe 2.70
Fe (0.0000, 0.0000, 0.0000)  6 Tm 2.70
Sc (0.6100, 0.6100, 0.0000)  1 Fe 3.12, 4 Te 3.12, 4 Tm 3.33
Sc (0.0000, 0.3900, 0.0000)  1 Fe 3.12, 4 Te 3.12, 4 Tm 3.33
Sc (0.3900, 0.0000, 0.0000)  1 Fe 3.12, 4 Te 3.12, 4 Tm 3.33
Te (0.3333, 0.6667, 0.5000)  3 Tm 3.12, 6 Sc 3.12
Te (0.6667, 0.3333, 0.5000)  3 Tm 3.12, 6 Sc 3.12

=====

First-principles (GGA-PBE) data for TcMo after structural relaxation, as listed in the Open Quantum Materials Database.

Computed properties:
As for the energy of formation: 0.097 eV per atom. The calculation puts the final energy at -10.5075 eV/atom. Its relative energy among the computed polymorphs is 0.000 eV/atom.

Unit cell a=3.1215 b=3.1215 c=3.1215 alpha=90.00 beta=90.00 gamma=90.00
Last column: nearest neighbours and their distance in Å.
Positions (direct):
Tc (0.0000, 0.0000, 0.0000)  8 Mo 2.70
Mo (0.5000, 0.5000, 0.5000)  8 Tc 2.70

=====

First-principles (GGA-PBE) data for Zr2Sc2In after structural relaxation, as listed in the Open Quantum Materials Database.

Computed properties:
The calculation puts the final energy at -6.1886 eV/atom. Its relative energy among the computed polymorphs is 0.000 eV/atom.

Unit cell a=7.6830 b=7.6830 c=7.6830 alpha=148.81 beta=148.81 gamma=44.69
Last column: nearest neighbours and their distance in Å.
Positions (direct):
Sc (0.7500, 0.2500, 0.5000)  4 Sc 2.92, 4 Zr 3.10
Sc (0.2500, 0.7500, 0.5000)  4 Sc 2.92, 4 Zr 3.10
Zr (0.4127, 0.4127, 0.0000)  1 Zr 2.48
Zr (0.5873, 0.5873, 0.0000)  1 Zr 2.48
In (0.0000, 0.0000, 0.0000)  8 Zr 3.17

=====

First-principles (GGA-PBE) data for Gd2MgCd after structural relaxation, as listed in the Open Quantum Materials Database.

Computed properties:
The calculation puts the final energy at -3.0463 eV/atom. Its relative energy among the computed polymorphs is 0.102 eV/atom.

Unit cell a=5.3786 b=6.7782 c=6.7782 alpha=60.19 beta=90.00 gamma=90.00
Last column: nearest neighbours and their distance in Å.
Positions (direct):
Cd (0.5000, 0.6704, 0.6704)  8 Gd 3.27-3.43, 4 Mg 3.31
Cd (0.0000, 0.3305, 0.3305)  8 Gd 3.30-3.40, 4 Mg 3.37-3.40
Mg (0.0000, 0.3429, 0.8221)  2 Mg 3.26-3.54, 6 Gd 3.30-3.47, 4 Cd 3.31-3.40
Mg (0.0000, 0.8221, 0.3429)  2 Mg 3.26-3.54, 6 Gd 3.30-3.47, 4 Cd 3.31-3.40
Gd (0.5000, 0.6566, 0.1834)  6 Gd 3.22-3.58, 2 Mg 3.30, 4 Cd 3.30-3.43
Gd (0.5000, 0.1657, 0.1657)  4 Cd 3.31-3.40, 4 Mg 3.36, 4 Gd 3.39
Gd (0.0000, 0.8285, 0.8285)  4 Cd 3.27-3.40, 4 Mg 3.31-3.47, 4 Gd 3.40
Gd (0.5000, 0.1834, 0.6566)  6 Gd 3.22-3.58, 2 Mg 3.30, 4 Cd 3.30-3.43

=====

First-principles (GGA-PBE) data for HfTlZnCu after structural relaxation, as listed in the Open Quantum Materials Database.

Computed properties:
The calculation puts the final energy at -4.1570 eV/atom. Its relative energy among the computed polymorphs is 0.000 eV/atom.

Unit cell a=4.6595 b=4.6595 c=4.6595 alpha=60.00 beta=60.00 gamma=60.00
Last column: nearest neighbours and their distance in Å.
Positions (direct):
Zn (0.2500, 0.2500, 0.2500)  4 Hf 2.85, 4 Tl 2.85
Cu (0.7500, 0.7500, 0.7500)  4 Tl 2.85, 4 Hf 2.85
Tl (0.0000, 0.0000, 0.0000)  4 Cu 2.85, 4 Zn 2.85
Hf (0.5000, 0.5000, 0.5000)  4 Zn 2.85, 4 Cu 2.85

=====

First-principles (GGA-PBE) data for ZrTaCu2Ge4 after structural relaxation, as listed in the Open Quantum Materials Database.

Computed properties:
The calculation puts the final energy at -6.1190 eV/atom.

Unit cell a=3.7368 b=3.7368 c=9.1111 alpha=90.00 beta=90.00 gamma=90.00
Last column: nearest neighbours and their distance in Å.
Positions (direct):
Zr (0.5000, 0.5000, 0.7335)  8 Ge 2.76-2.88, 4 Cu 3.08
Cu (0.0000, 0.5000, 0.0029)  4 Ge 2.48-2.49, 4 Cu 2.64
Cu (0.5000, 0.0000, 0.0029)  4 Ge 2.48-2.49, 4 Cu 2.64
Ge (0.5000, 0.5000, 0.1822)  4 Cu 2.48, 4 Ta 2.76
Ge (0.0000, 0.0000, 0.8226)  4 Cu 2.49, 4 Zr 2.76
Ge (0.5000, 0.0000, 0.4936)  4 Ge 2.64, 2 Ta 2.77, 2 Zr 2.88
Ge (0.0000, 0.5000, 0.4936)  4 Ge 2.64, 2 Ta 2.77, 2 Zr 2.88
Ta (0.0000, 0.0000, 0.2688)  8 Ge 2.76-2.77, 4 Cu 3.06